SrCaBr2 | GGA-PBEsol | relaxed

Values from the calculation:
Its uncorrected formation energy is -0.6870 eV per atom. The value obtained for the excess energy over the best structure of this formula in the dataset is 741 meV per atom. As for the total moment: 0.4122 μB per atom. As for the density of states at the Fermi level: 2.516 states/eV/f.u.

```
data_SrCaBr2
_chemical_formula_sum 'Sr4 Ca4 Br8'
_space_group_name_H-M_alt 'F -4 3 m'
_space_group_IT_number 216
_space_group_name_Hall 'F -4 2 3'
_cell_length_a 8.121
_cell_length_b 8.121
_cell_length_c 8.121
_cell_angle_alpha 90.00
_cell_angle_beta 90.00
_cell_angle_gamma 90.00
loop_
_atom_site_label
_atom_site_type_symbol
_atom_site_fract_x
_atom_site_fract_y
_atom_site_fract_z
Sr1 Sr 0.000 0.000 0.000
Ca1 Ca 0.250 0.250 0.250
Br1 Br 0.000 0.000 0.500
Br2 Br 0.250 0.250 0.750
```